Record 1
## Mn2SiAu2 (PBE-GGA)

Data for Mn2SiAu2 after structural relaxation.

a b c (Å): 7.570 7.570 7.570
angles (deg): 154.83 154.83 35.90
Positions (direct):
Mn1 0.250 0.750 0.500
Mn2 0.750 0.250 0.500
Si1 0.000 0.000 0.000
Au1 0.400 0.400 0.000
Au2 0.600 0.600 0.000

Output
Its density of states at the Fermi level is 1.142 states/eV per atom. For the uncorrected formation energy, the calculation gives 0.506 eV per atom.

Record 2
## DyAlAu3 (PBE-GGA)

Data for DyAlAu3 after structural relaxation.

a b c (Å): 8.958 4.752 9.328
angles (deg): 90.00 90.00 90.00
Positions (direct):
Dy1 0.234 0.250 0.002
Dy2 0.266 0.750 0.502
Dy3 0.734 0.250 0.498
Dy4 0.766 0.750 0.998
Al1 0.099 0.250 0.674
Al2 0.401 0.750 0.174
Al3 0.599 0.250 0.826
Al4 0.901 0.750 0.326
Au1 0.069 0.250 0.403
Au2 0.108 0.750 0.842
Au3 0.115 0.750 0.155
Au4 0.385 0.250 0.655
Au5 0.392 0.250 0.342
Au6 0.431 0.750 0.903
Au7 0.569 0.250 0.097
Au8 0.608 0.750 0.658
Au9 0.615 0.750 0.345
Au10 0.885 0.250 0.845
Au11 0.892 0.250 0.158
Au12 0.931 0.750 0.597

Output
The calculation puts the formation energy at -3.272 eV per formula unit. Its density of states at the Fermi level is 0.469 states/eV per atom.

Record 3
## AgHg2Br2 (PBE-GGA)

Data for AgHg2Br2 after structural relaxation.

a b c (Å): 7.813 7.813 5.663
angles (deg): 90.00 90.00 90.00
Positions (direct):
Ag1 0.000 0.000 0.000
Ag2 0.500 0.500 0.000
Hg1 0.128 0.372 0.500
Hg2 0.372 0.872 0.500
Hg3 0.628 0.128 0.500
Hg4 0.872 0.628 0.500
Br1 0.219 0.281 0.000
Br2 0.281 0.781 0.000
Br3 0.719 0.219 0.000
Br4 0.781 0.719 0.000

Output
Its density of states at the Fermi level is 0.156 states/eV per atom. For the uncorrected formation energy, the calculation gives -0.107 eV per atom.

Record 4
## FePC3 (PBE-GGA)

Data for FePC3 after structural relaxation.

a b c (Å): 3.678 3.678 5.204
angles (deg): 100.38 100.38 40.65
Positions (direct):
Fe1 0.000 0.000 0.000
P1 0.689 0.689 0.792
C1 0.241 0.241 0.331
C2 0.434 0.434 0.257
C3 0.649 0.649 0.413

Output
The calculation puts the formation energy at 2.129 eV per formula unit. Its density of states at the Fermi level is 0.615 states/eV per atom.

Record 5
## Ac3SnPd3 (PBE-GGA)

Data for Ac3SnPd3 after structural relaxation.

a b c (Å): 6.485 6.485 15.497
angles (deg): 109.29 109.29 39.94
Positions (direct):
Ac1 0.015 0.015 0.379
Ac2 0.103 0.103 0.924
Ac3 0.234 0.234 0.224
Ac4 0.766 0.766 0.776
Ac5 0.897 0.897 0.076
Ac6 0.985 0.985 0.621
Sn1 0.263 0.263 0.595
Sn2 0.737 0.737 0.405
Pd1 0.372 0.372 0.458
Pd2 0.378 0.378 0.926
Pd3 0.477 0.477 0.772
Pd4 0.523 0.523 0.228
Pd5 0.622 0.622 0.074
Pd6 0.628 0.628 0.542

Output
The calculation puts the formation energy at -5.394 eV per formula unit. Its density of states at the Fermi level is 0.811 states/eV per atom.

Record 6
## Tb4DyEr (PBE-GGA)

Data for Tb4DyEr after structural relaxation.

a b c (Å): 6.127 6.127 10.009
angles (deg): 114.11 114.11 33.62
Positions (direct):
Tb1 0.166 0.166 0.333
Tb2 0.167 0.167 0.834
Tb3 0.833 0.833 0.166
Tb4 0.834 0.834 0.667
Dy1 0.500 0.500 0.500
Er1 0.500 0.500 0.000

Output
The calculation puts the formation energy at 0.086 eV per formula unit. Its density of states at the Fermi level is 1.241 states/eV per atom.

Record 7
## Ta3NbFe (PBE-GGA)

Data for Ta3NbFe after structural relaxation.

a b c (Å): 4.798 4.798 4.798
angles (deg): 90.00 90.00 90.00
Positions (direct):
Ta1 0.000 0.000 0.500
Ta2 0.000 0.500 0.000
Ta3 0.500 0.000 0.000
Nb1 0.000 0.000 0.000
Fe1 0.500 0.500 0.500

Output
The calculation puts the formation energy at 10.765 eV per formula unit. Its density of states at the Fermi level is 2.983 states/eV per atom.

Record 8
## LaMoBr2 (PBE-GGA)

Data for LaMoBr2 after structural relaxation.

a b c (Å): 5.352 5.352 5.352
angles (deg): 60.00 60.00 60.00
Positions (direct):
La1 0.000 0.000 0.000
Mo1 0.250 0.250 0.250
Br1 0.500 0.500 0.500
Br2 0.750 0.750 0.750

Output
Its density of states at the Fermi level is 0.936 states/eV per atom. For the uncorrected formation energy, the calculation gives 0.181 eV per atom.

Total moment, respectively: 3.1, 0.0, 0.0, 0.6, 0.0, 0.0, 0.0, 5.0 μB per cell.
Ρ, respectively: 11.27, 13.05, 6.43, 4.53, 9.49, 8.52, 10.40, 6.04 Mg/m³.
Raw total energy, respectively: -5.557, -4.290, -1.467, -7.883, -5.329, -4.600, -8.665, -4.595 eV/atom.